1.
Compound: AcDyGa2Ni2
Source: the Alexandria database
Functional: PBE
Structure: optimized geometry

a b c (Å): 4.4043 4.4043 7.3863
angles (deg): 90.00 90.00 120.00
Space group P-3m1 (No. 164)
Inequivalent atoms, fractional coordinates:
Ac: 0.0000 0.0000 0.0000 x1
Dy: 0.0000 0.0000 0.5000 x1
Ga: 0.3333 0.6667 0.2941 x2
Ni: 0.3333 0.6667 0.7043 x2

ΔH_f (0 K) = -0.54 eV/atom

=====

2.
Compound: AcDyGaNi
Source: the Alexandria database
Functional: PBE
Structure: optimized geometry

a b c (Å): 7.3328 7.3328 7.3328
angles (deg): 90.00 90.00 90.00
Space group F-43m (No. 216)
Inequivalent atoms, fractional coordinates:
Ac: 0.0000 0.0000 0.0000 x4
Dy: 0.0000 0.0000 0.5000 x4
Ga: 0.2500 0.2500 0.2500 x4
Ni: 0.2500 0.2500 0.7500 x4

ΔH_f (0 K) = -0.28 eV/atom

=====

3.
Compound: Ac3DyGa2O9
Source: the Alexandria database
Functional: PBE
Structure: optimized geometry

a b c (Å): 5.7563 5.7563 7.3082
angles (deg): 90.00 90.00 120.00
Space group P-3m1 (No. 164)
Inequivalent atoms, fractional coordinates:
Ac: 0.0000 0.0000 0.0000 x1
Ac: 0.3333 0.6667 0.7131 x2
Dy: 0.0000 0.0000 0.5000 x1
Ga: 0.3333 0.6667 0.1716 x2
O: 0.0000 0.5000 0.0000 x3
O: 0.1695 0.3390 0.3093 x6

ΔE_f (raw) = -2.839 eV/atom

=====

4.
Compound: AcDyGa2Pd2
Source: the Alexandria database
Functional: PBE
Structure: optimized geometry

a b c (Å): 4.5836 4.5836 7.3532
angles (deg): 90.00 90.00 120.00
Space group P-3m1 (No. 164)
Inequivalent atoms, fractional coordinates:
Ac: 0.0000 0.0000 0.0000 x1
Dy: 0.0000 0.0000 0.5000 x1
Ga: 0.3333 0.6667 0.2956 x2
Pd: 0.3333 0.6667 0.7084 x2

ΔH_f (0 K) = -0.83 eV/atom

=====

5.
Compound: AcDyGaPd
Source: the Alexandria database
Functional: PBE
Structure: optimized geometry

a b c (Å): 7.4449 7.4449 7.4449
angles (deg): 90.00 90.00 90.00
Space group F-43m (No. 216)
Inequivalent atoms, fractional coordinates:
Ac: 0.0000 0.0000 0.0000 x4
Dy: 0.0000 0.0000 0.5000 x4
Ga: 0.2500 0.2500 0.7500 x4
Pd: 0.2500 0.2500 0.2500 x4

ΔH_f (0 K) = -0.56 eV/atom

=====

6.
Compound: Ac2DyGa2Pd7
Source: the Alexandria database
Functional: PBE
Structure: optimized geometry

a b c (Å): 5.9962 5.9442 14.1718
angles (deg): 90.00 97.77 90.00
Space group C2/m (No. 12)
Inequivalent atoms, fractional coordinates:
Ac: 0.1017 0.0000 0.3536 x4
Dy: 0.0000 0.0000 0.0000 x2
Ga: 0.0749 0.5000 0.2430 x4
Pd: 0.0000 0.5000 0.0000 x2
Pd: 0.1176 0.5000 0.4240 x4
Pd: 0.2046 0.2495 0.8544 x8

ΔH_f (0 K) = -0.83 eV/atom

=====

7.
Compound: AcPrDyGa
Source: the Alexandria database
Functional: PBE
Structure: optimized geometry

a b c (Å): 7.8633 7.8633 7.8633
angles (deg): 90.00 90.00 90.00
Space group F-43m (No. 216)
Inequivalent atoms, fractional coordinates:
Ac: 0.0000 0.0000 0.0000 x4
Pr: 0.2500 0.2500 0.2500 x4
Dy: 0.2500 0.2500 0.7500 x4
Ga: 0.0000 0.0000 0.5000 x4

ΔH_f (0 K) = 0.03 eV/atom

=====

8.
Compound: AcDyGa2Pt2
Source: the Alexandria database
Functional: PBE
Structure: optimized geometry

a b c (Å): 4.5342 4.5342 7.4858
angles (deg): 90.00 90.00 120.00
Space group P-3m1 (No. 164)
Inequivalent atoms, fractional coordinates:
Ac: 0.0000 0.0000 0.0000 x1
Dy: 0.0000 0.0000 0.5000 x1
Ga: 0.3333 0.6667 0.7070 x2
Pt: 0.3333 0.6667 0.2886 x2

ΔH_f (0 K) = -1.04 eV/atom

=====

9.
Compound: Ac2DyGa2Pt7
Source: the Alexandria database
Functional: PBE
Structure: optimized geometry

a b c (Å): 5.9745 5.9337 14.2275
angles (deg): 90.00 97.27 90.00
Space group C2/m (No. 12)
Inequivalent atoms, fractional coordinates:
Ac: 0.0942 0.0000 0.3531 x4
Dy: 0.0000 0.0000 0.0000 x2
Ga: 0.0725 0.5000 0.2438 x4
Pt: 0.0000 0.5000 0.0000 x2
Pt: 0.1009 0.5000 0.4210 x4
Pt: 0.2063 0.2500 0.8537 x8

ΔH_f (0 K) = -1.02 eV/atom

=====

10.
Compound: AcDyGa2Pt5
Source: the Alexandria database
Functional: PBE
Structure: optimized geometry

a b c (Å): 4.3504 4.3504 9.2822
angles (deg): 90.00 90.00 90.00
Space group P4/mmm (No. 123)
Inequivalent atoms, fractional coordinates:
Ac: 0.0000 0.0000 0.0000 x1
Dy: 0.0000 0.0000 0.5000 x1
Ga: 0.5000 0.5000 0.3687 x2
Pt: 0.0000 0.5000 0.2405 x4
Pt: 0.5000 0.5000 0.0000 x1

ΔH_f (0 K) = -0.84 eV/atom

=====

11.
Compound: Ac2DyGa3Pt4
Source: the Alexandria database
Functional: PBE
Structure: optimized geometry

a b c (Å): 4.4207 4.4207 11.3110
angles (deg): 90.00 90.00 90.00
Space group P-4m2 (No. 115)
Inequivalent atoms, fractional coordinates:
Ac: 0.0000 0.5000 0.2311 x2
Dy: 0.0000 0.0000 0.5000 x1
Ga: 0.0000 0.5000 0.8831 x2
Ga: 0.5000 0.5000 0.5000 x1
Pt: 0.0000 0.0000 0.0000 x1
Pt: 0.0000 0.5000 0.6552 x2
Pt: 0.5000 0.5000 0.0000 x1

ΔH_f (0 K) = -1.00 eV/atom

=====

12.
Compound: AcDyGaPt
Source: the Alexandria database
Functional: PBE
Structure: optimized geometry

a b c (Å): 7.4223 7.4223 7.4223
angles (deg): 90.00 90.00 90.00
Space group F-43m (No. 216)
Inequivalent atoms, fractional coordinates:
Ac: 0.0000 0.0000 0.0000 x4
Dy: 0.0000 0.0000 0.5000 x4
Ga: 0.2500 0.2500 0.7500 x4
Pt: 0.2500 0.2500 0.2500 x4

ΔH_f (0 K) = -0.70 eV/atom

=====

13.
Compound: AcDyGaRh
Source: the Alexandria database
Functional: PBE
Structure: optimized geometry

a b c (Å): 7.3493 7.3493 7.3493
angles (deg): 90.00 90.00 90.00
Space group F-43m (No. 216)
Inequivalent atoms, fractional coordinates:
Ac: 0.0000 0.0000 0.0000 x4
Dy: 0.0000 0.0000 0.5000 x4
Ga: 0.2500 0.2500 0.2500 x4
Rh: 0.2500 0.2500 0.7500 x4

ΔH_f (0 K) = -0.49 eV/atom

=====

14.
Compound: Ac2DyGa3Rh4
Source: the Alexandria database
Functional: PBE
Structure: optimized geometry

a b c (Å): 4.3806 4.3806 11.0696
angles (deg): 90.00 90.00 90.00
Space group P-4m2 (No. 115)
Inequivalent atoms, fractional coordinates:
Ac: 0.0000 0.5000 0.2259 x2
Dy: 0.0000 0.0000 0.5000 x1
Ga: 0.0000 0.5000 0.8875 x2
Ga: 0.5000 0.5000 0.5000 x1
Rh: 0.0000 0.0000 0.0000 x1
Rh: 0.0000 0.5000 0.6520 x2
Rh: 0.5000 0.5000 0.0000 x1

ΔH_f (0 K) = -0.80 eV/atom

=====

15.
Compound: AcDyGaRu
Source: the Alexandria database
Functional: PBE
Structure: optimized geometry

a b c (Å): 7.3060 7.3060 7.3060
angles (deg): 90.00 90.00 90.00
Space group F-43m (No. 216)
Inequivalent atoms, fractional coordinates:
Ac: 0.0000 0.0000 0.0000 x4
Dy: 0.0000 0.0000 0.5000 x4
Ga: 0.2500 0.2500 0.7500 x4
Ru: 0.2500 0.2500 0.2500 x4

ΔH_f (0 K) = -0.23 eV/atom

=====

16.
Compound: AcDyScGa
Source: the Alexandria database
Functional: PBE
Structure: optimized geometry

a b c (Å): 7.5643 7.5643 7.5643
angles (deg): 90.00 90.00 90.00
Space group F-43m (No. 216)
Inequivalent atoms, fractional coordinates:
Ac: 0.0000 0.0000 0.0000 x4
Dy: 0.2500 0.2500 0.2500 x4
Sc: 0.2500 0.2500 0.7500 x4
Ga: 0.0000 0.0000 0.5000 x4

ΔH_f (0 K) = 0.06 eV/atom

=====

17.
Compound: AcDyGaSi
Source: the Alexandria database
Functional: PBE
Structure: optimized geometry

a b c (Å): 7.4446 7.4446 7.4446
angles (deg): 90.00 90.00 90.00
Space group F-43m (No. 216)
Inequivalent atoms, fractional coordinates:
Ac: 0.0000 0.0000 0.0000 x4
Dy: 0.0000 0.0000 0.5000 x4
Ga: 0.2500 0.2500 0.7500 x4
Si: 0.2500 0.2500 0.2500 x4

ΔE_f (raw) = -0.400 eV/atom

=====

18.
Compound: AcTbDyGa
Source: the Alexandria database
Functional: PBE
Structure: optimized geometry

a b c (Å): 7.7547 7.7547 7.7547
angles (deg): 90.00 90.00 90.00
Space group F-43m (No. 216)
Inequivalent atoms, fractional coordinates:
Ac: 0.0000 0.0000 0.0000 x4
Tb: 0.2500 0.2500 0.7500 x4
Dy: 0.2500 0.2500 0.2500 x4
Ga: 0.0000 0.0000 0.5000 x4

ΔH_f (0 K) = 0.05 eV/atom

=====

19.
Compound: AcDyTlGa
Source: the Alexandria database
Functional: PBE
Structure: optimized geometry

a b c (Å): 7.7594 7.7594 7.7594
angles (deg): 90.00 90.00 90.00
Space group F-43m (No. 216)
Inequivalent atoms, fractional coordinates:
Ac: 0.0000 0.0000 0.0000 x4
Dy: 0.0000 0.0000 0.5000 x4
Tl: 0.2500 0.2500 0.2500 x4
Ga: 0.2500 0.2500 0.7500 x4

ΔH_f (0 K) = -0.36 eV/atom

=====

20.
Compound: AcDyTmGa
Source: the Alexandria database
Functional: PBE
Structure: optimized geometry

a b c (Å): 7.7143 7.7143 7.7143
angles (deg): 90.00 90.00 90.00
Space group F-43m (No. 216)
Inequivalent atoms, fractional coordinates:
Ac: 0.0000 0.0000 0.0000 x4
Dy: 0.2500 0.2500 0.7500 x4
Tm: 0.2500 0.2500 0.2500 x4
Ga: 0.0000 0.0000 0.5000 x4

ΔH_f (0 K) = 0.07 eV/atom

=====

21.
Compound: AcDyYGa
Source: the Alexandria database
Functional: PBE
Structure: optimized geometry

a b c (Å): 7.7640 7.7640 7.7640
angles (deg): 90.00 90.00 90.00
Space group F-43m (No. 216)
Inequivalent atoms, fractional coordinates:
Ac: 0.0000 0.0000 0.0000 x4
Dy: 0.2500 0.2500 0.7500 x4
Y: 0.2500 0.2500 0.2500 x4
Ga: 0.0000 0.0000 0.5000 x4

ΔH_f (0 K) = 0.05 eV/atom

=====

22.
Compound: AcDyZn2Ga2
Source: the Alexandria database
Functional: PBE
Structure: optimized geometry

a b c (Å): 4.4892 4.4892 7.8731
angles (deg): 90.00 90.00 120.00
Space group P-3m1 (No. 164)
Inequivalent atoms, fractional coordinates:
Ac: 0.0000 0.0000 0.0000 x1
Dy: 0.0000 0.0000 0.5000 x1
Zn: 0.3333 0.6667 0.7018 x2
Ga: 0.3333 0.6667 0.2857 x2

ΔH_f (0 K) = -0.54 eV/atom

=====

23.
Compound: AcDyZnGa
Source: the Alexandria database
Functional: PBE
Structure: optimized geometry

a b c (Å): 7.5257 7.5257 7.5257
angles (deg): 90.00 90.00 90.00
Space group F-43m (No. 216)
Inequivalent atoms, fractional coordinates:
Ac: 0.0000 0.0000 0.0000 x4
Dy: 0.0000 0.0000 0.5000 x4
Zn: 0.2500 0.2500 0.2500 x4
Ga: 0.2500 0.2500 0.7500 x4

ΔH_f (0 K) = -0.36 eV/atom

=====

24.
Compound: AcDy2Zn2Ga2
Source: the Alexandria database
Functional: PBE
Structure: optimized geometry

a b c (Å): 4.5161 4.5161 29.1061
angles (deg): 90.00 90.00 120.00
Space group R-3m (No. 166, hexagonal axes)
Inequivalent atoms, fractional coordinates:
Ac: 0.0000 0.0000 0.0000 x3
Dy: 0.0000 0.0000 0.1301 x6
Zn: 0.0000 0.0000 0.4113 x6
Ga: 0.0000 0.0000 0.2519 x6

ΔH_f (0 K) = -0.40 eV/atom

=====

25.
Compound: Ac2GdDy
Source: the Alexandria database
Functional: PBE
Structure: optimized geometry

a b c (Å): 3.7152 3.7152 39.2080
angles (deg): 90.00 90.00 120.00
Space group R-3m (No. 166, hexagonal axes)
Inequivalent atoms, fractional coordinates:
Ac: 0.0000 0.0000 0.0883 x6
Gd: 0.0000 0.0000 0.5000 x3
Dy: 0.0000 0.0000 0.0000 x3

ΔH_f (0 K) = 0.24 eV/atom

=====

26.
Compound: Ac2GdDy
Source: the Alexandria database
Functional: PBE
Structure: optimized geometry

a b c (Å): 3.8491 3.8491 10.2570
angles (deg): 90.00 90.00 90.00
Space group P4/mmm (No. 123)
Inequivalent atoms, fractional coordinates:
Ac: 0.0000 0.0000 0.2472 x2
Gd: 0.5000 0.5000 0.5000 x1
Dy: 0.5000 0.5000 0.0000 x1

ΔH_f (0 K) = 0.04 eV/atom